1.
Entry from Alexandria via LeMat-Bulk: crystalline Pr3Ga2Ir3 at its relaxed geometry (PBE).

Calculated values
ΔE_f   -682 meV per atom
Space-group type   Cmcm
DOS at the Fermi energy   3.990 states/eV/f.u.
Final energy   -6.55 eV per atom

```
Pr3Ga2Ir3
1.0
2.0993 -5.8224 0.0000
2.0993 5.8224 0.0000
0.0000 0.0000 14.4861
Pr Ga Ir
6 4 6
direct
0.0787 0.9213 0.6123
0.0787 0.9213 0.8877
0.3530 0.6470 0.7500
0.6470 0.3530 0.2500
0.9213 0.0787 0.1123
0.9213 0.0787 0.3877
0.2201 0.7799 0.0838
0.2201 0.7799 0.4162
0.7799 0.2201 0.5838
0.7799 0.2201 0.9162
0.3232 0.6768 0.2500
0.3943 0.6057 0.5394
0.3943 0.6057 0.9606
0.6057 0.3943 0.0394
0.6057 0.3943 0.4606
0.6768 0.3232 0.7500
```

2.
Entry from Alexandria via LeMat-Bulk: crystalline Pr5GaIr2 at its relaxed geometry (PBE).

Calculated values
ΔE_f   -526 meV per atom
Space-group type   I4/mcm
DOS at the Fermi energy   9.122 states/eV/f.u.
Final energy   -6.11 eV per atom

```
Pr5GaIr2
1.0
-4.0101 4.0101 6.8778
4.0101 -4.0101 6.8778
4.0101 4.0101 -6.8778
Pr Ga Ir
10 2 4
direct
0.0000 0.0000 0.0000
0.0269 0.5269 0.8288
0.1981 0.0269 0.5000
0.3019 0.8019 0.8288
0.4731 0.3019 0.5000
0.5000 0.5000 0.0000
0.5269 0.6981 0.5000
0.6981 0.1981 0.1712
0.8019 0.9731 0.5000
0.9731 0.4731 0.1712
0.2500 0.2500 0.0000
0.7500 0.7500 0.0000
0.1341 0.3659 0.5000
0.3659 0.8659 0.2318
0.6341 0.1341 0.7682
0.8659 0.6341 0.5000
```

3.
Entry from Alexandria via LeMat-Bulk: crystalline Pr3GaIr3 at its relaxed geometry (PBE).

Calculated values
ΔE_f   -684 meV per atom
Space-group type   Cmcm
DOS at the Fermi energy   3.926 states/eV/f.u.
Final energy   -6.96 eV per atom

```
Pr3GaIr3
1.0
2.1166 -5.3316 0.0000
2.1166 5.3316 0.0000
0.0000 0.0000 14.1324
Pr Ga Ir
6 2 6
direct
0.0073 0.9927 0.7500
0.2889 0.7111 0.6062
0.2889 0.7111 0.8938
0.7111 0.2889 0.1062
0.7111 0.2889 0.3938
0.9927 0.0073 0.2500
0.0000 0.0000 0.0000
0.0000 0.0000 0.5000
0.2784 0.7216 0.2500
0.4223 0.5777 0.0878
0.4223 0.5777 0.4122
0.5777 0.4223 0.5878
0.5777 0.4223 0.9122
0.7216 0.2784 0.7500
```

4.
Entry from Alexandria via LeMat-Bulk: crystalline Pr3Ga9Ir2 at its relaxed geometry (PBE).

Calculated values
ΔE_f   -600 meV per atom
Space-group type   Immm
DOS at the Fermi energy   4.263 states/eV/f.u.
Final energy   -4.84 eV per atom

```
Pr3Ga9Ir2
1.0
-2.1684 4.8343 6.4001
2.1684 -4.8343 6.4001
2.1684 4.8343 -6.4001
Pr Ga Ir
3 9 2
direct
0.0000 0.0000 0.0000
0.2998 0.2998 0.0000
0.7002 0.7002 0.0000
0.0175 0.6560 0.3615
0.1503 0.8692 0.2811
0.2945 0.6560 0.6385
0.4118 0.1308 0.2811
0.5000 0.0000 0.5000
0.5882 0.8692 0.7189
0.7055 0.3440 0.3615
0.8497 0.1308 0.7189
0.9825 0.3440 0.6385
0.3140 0.5000 0.8140
0.6860 0.5000 0.1860
```

5.
Entry from Alexandria via LeMat-Bulk: crystalline Pr8Ga2Ir at its relaxed geometry (PBE).

Calculated values
ΔE_f   -270 meV per atom
Space-group type   C2/m
DOS at the Fermi energy   12.351 states/eV/f.u.
Final energy   -5.10 eV per atom

```
Pr8Ga2Ir
1.0
9.1639 -2.6978 0.0000
9.1639 2.6978 0.0000
-2.7429 0.0000 6.5422
Pr Ga Ir
8 2 1
direct
0.0000 0.0000 0.2494
0.0000 0.0000 0.7506
0.2003 0.2003 0.1994
0.3698 0.3698 0.1341
0.3700 0.3700 0.6055
0.6300 0.6300 0.3945
0.6302 0.6302 0.8659
0.7997 0.7997 0.8006
0.1845 0.1845 0.6842
0.8155 0.8155 0.3158
0.5000 0.5000 0.0000
```

6.
Entry from Alexandria via LeMat-Bulk: crystalline PrGa6Ir3 at its relaxed geometry (PBE).

Calculated values
ΔE_f   -522 meV per atom
Space-group type   P2_1/m
DOS at the Fermi energy   4.755 states/eV/f.u.
Final energy   -5.47 eV per atom

```
PrGa6Ir3
1.0
8.6431 0.0000 0.0000
0.0000 4.2854 0.0000
-0.6488 0.0000 9.6651
Pr Ga Ir
2 12 6
direct
0.0501 0.2500 0.2925
0.9499 0.7500 0.7075
0.1233 0.7500 0.0289
0.1829 0.2500 0.6158
0.3055 0.7500 0.2608
0.3192 0.7500 0.7796
0.4340 0.2500 0.4246
0.4606 0.2500 0.9078
0.5394 0.7500 0.0922
0.5660 0.7500 0.5754
0.6808 0.2500 0.2204
0.6945 0.2500 0.7392
0.8171 0.7500 0.3842
0.8767 0.2500 0.9711
0.1632 0.2500 0.8827
0.2717 0.7500 0.5118
0.3807 0.2500 0.1503
0.6193 0.7500 0.8497
0.7283 0.2500 0.4882
0.8368 0.7500 0.1173
```